# 1
{
  "formula": "CaNiB3",
  "functional": "GGA-PBEsol",
  "state": "relaxed",
  "total_magnetization_mub_per_cell": 0.0,
  "ef_ev_per_atom": 0.519,
  "space_group": "Pm-3m (221)",
  "volume_a3_per_atom": 11.39,
  "cell": [[3.8473, 0.0000, 0.0000], [0.0000, 3.8473, 0.0000], [0.0000, 0.0000, 3.8473]],
  "species": ["Ni", "Ca", "B", "B", "B"],
  "frac_coords": [[0.0000, 0.0000, 0.0000], [0.5000, 0.5000, 0.5000], [0.0000, 0.5000, 0.0000], [0.0000, 0.0000, 0.5000], [0.5000, 0.0000, 0.0000]]
}

***

# 2
{
  "formula": "Ba3HfF",
  "functional": "GGA-PBEsol",
  "state": "relaxed",
  "total_magnetization_mub_per_cell": 0.0,
  "space_group": "Pm-3m (221)",
  "e_form_raw_ev_per_atom": -0.628,
  "volume_a3_per_atom": 32.15,
  "cell": [[-0.8867, 5.1279, 1.5747], [-4.3766, 0.2313, -3.2178], [-3.1018, -1.7924, 4.0900]],
  "species": ["Hf", "Ba", "Ba", "Ba", "F"],
  "frac_coords": [[0.5000, 0.5000, 0.5000], [0.0000, 0.5000, 0.0000], [0.0000, 0.0000, 0.5000], [0.5000, 0.0000, 0.0000], [0.0000, 0.0000, 0.0000]]
}

***

# 3
{
  "formula": "CuNiIr",
  "functional": "GGA-PBEsol",
  "state": "relaxed",
  "total_magnetization_mub_per_cell": 0.0,
  "ef_ev_per_atom": 0.108,
  "space_group": "I4mm (107)",
  "e_above_lowest_polymorph_mev_per_atom": 27,
  "volume_a3_per_atom": 12.06,
  "cell": [[-0.9793, -0.4783, 2.3796], [-0.0801, -2.5582, -0.5472], [5.4269, 0.9578, 0.9866]],
  "species": ["Cu", "Ir", "Ni"],
  "frac_coords": [[0.9942, 0.9942, 0.9883], [0.6717, 0.6717, 0.3433], [0.3342, 0.3342, 0.6683]]
}

***

# 4
{
  "formula": "SrTeAs",
  "functional": "GGA-PBEsol",
  "state": "relaxed",
  "total_magnetization_mub_per_cell": 0.0,
  "space_group": "P3m1 (156)",
  "e_form_raw_ev_per_atom": -0.645,
  "volume_a3_per_atom": 28.89,
  "cell": [[4.1455, 0.0000, 0.0000], [0.0000, 4.9138, 0.0000], [0.0000, -2.4569, 4.2555]],
  "species": ["Sr", "As", "Te"],
  "frac_coords": [[0.6674, 0.3333, 0.6667], [0.1612, 0.0000, 0.0000], [0.1715, 0.6667, 0.3333]]
}

***

# 5
{
  "formula": "Ca2TaCdPt",
  "functional": "GGA-PBEsol",
  "state": "relaxed",
  "total_magnetization_mub_per_cell": 0.0,
  "ef_ev_per_atom": 1.435,
  "space_group": "P4/mmm (123)",
  "volume_a3_per_atom": 29.28,
  "cell": [[5.0721, 0.0000, 0.0000], [0.0000, 5.3725, 0.0000], [0.0000, 0.0000, 5.3725]],
  "species": ["Ca", "Ca", "Cd", "Pt", "Ta"],
  "frac_coords": [[0.0000, 0.0000, 0.5000], [0.0000, 0.5000, 0.0000], [0.5000, 0.0000, 0.0000], [0.5000, 0.5000, 0.5000], [0.0000, 0.0000, 0.0000]]
}

***

# 6
{
  "formula": "OsPbAu2",
  "functional": "GGA-PBEsol",
  "state": "relaxed",
  "total_magnetization_mub_per_cell": 0.0,
  "ef_ev_per_atom": 0.602,
  "space_group": "C2/m (12)",
  "volume_a3_per_atom": 18.70,
  "cell": [[-1.9903, 2.2075, 0.0253], [-1.8444, -1.6184, -3.8958], [-1.5051, -3.4135, 4.8420]],
  "species": ["Au", "Au", "Os", "Pb"],
  "frac_coords": [[0.7857, 0.7856, 0.5714], [0.2143, 0.2144, 0.4286], [0.5000, 0.0000, 0.0000], [0.0000, 0.5000, 0.0000]]
}

***

# 7
{
  "formula": "BaBe2Ru",
  "functional": "GGA-PBEsol",
  "state": "relaxed",
  "total_magnetization_mub_per_cell": 0.0,
  "ef_ev_per_atom": 0.690,
  "space_group": "Immm (71)",
  "volume_a3_per_atom": 20.43,
  "cell": [[-3.3920, 1.1748, 1.2323], [-1.9083, -3.1124, 3.5591], [0.2767, 2.0341, 4.6671]],
  "species": ["Ru", "Ba", "Be", "Be"],
  "frac_coords": [[0.5000, 0.0000, 0.0000], [0.0000, 0.5000, 0.5000], [0.1493, 0.8507, 0.8507], [0.8507, 0.1493, 0.1493]]
}

***

# 8
{
  "formula": "Na2ScFeMo",
  "functional": "GGA-PBEsol",
  "state": "relaxed",
  "total_magnetization_mub_per_cell": 4.8,
  "ef_ev_per_atom": 1.852,
  "space_group": "P4/mmm (123)",
  "volume_a3_per_atom": 22.63,
  "cell": [[-1.5404, 3.6365, -1.5520], [-4.7979, -1.8745, 0.3699], [-0.3685, 1.8891, 4.7922]],
  "species": ["Sc", "Na", "Na", "Mo", "Fe"],
  "frac_coords": [[0.0000, 0.0000, 0.0000], [0.0000, 0.0000, 0.5000], [0.0000, 0.5000, 0.0000], [0.5000, 0.5000, 0.5000], [0.5000, 0.0000, 0.0000]]
}

***

# 9
{
  "formula": "V6Ga7",
  "functional": "GGA-PBEsol",
  "state": "relaxed",
  "total_magnetization_mub_per_cell": 1.5,
  "ef_ev_per_atom": -0.192,
  "space_group": "Fmm2 (42)",
  "e_above_lowest_polymorph_mev_per_atom": 26,
  "volume_a3_per_atom": 14.00,
  "cell": [[7.7684, -0.0026, -0.0045], [-2.6066, 7.3652, 0.0001], [2.5551, 3.6560, 6.3602]],
  "species": ["V", "V", "V", "V", "V", "V", "V", "V", "V", "V", "V", "V", "Ga", "Ga", "Ga", "Ga", "Ga", "Ga", "Ga", "Ga", "Ga", "Ga", "Ga", "Ga", "Ga", "Ga"],
  "frac_coords": [[0.9996, 0.6495, 0.0004], [0.3501, 0.3505, 0.6499], [0.6599, 0.0000, 0.0053], [0.9947, 0.0000, 0.3401], [0.6501, 0.0000, 0.3499], [0.0037, 0.3601, 0.6443], [0.3557, 0.3601, 0.9963], [0.9957, 0.6399, 0.3564], [0.6436, 0.6399, 0.0043], [0.3564, 0.0000, 0.6436], [0.0020, 0.2154, 0.9980], [0.7866, 0.7846, 0.2134], [0.2800, 0.6240, 0.7200], [0.0004, 0.3419, 0.2824], [0.7176, 0.3419, 0.9996], [0.6561, 0.3760, 0.3439], [0.3757, 0.6581, 0.3415], [0.6585, 0.6581, 0.6243], [0.3417, 0.0000, 0.2890], [0.6294, 0.2835, 0.7158], [0.3459, 0.7165, 0.9993], [0.7110, 0.0000, 0.6583], [0.0007, 0.7165, 0.6541], [0.2842, 0.2835, 0.3706], [0.2036, 0.0000, 0.0026], [0.9974, 0.0000, 0.7964]]
}

***

# 10
{
  "formula": "BaRhSe2",
  "functional": "GGA-PBEsol",
  "state": "relaxed",
  "total_magnetization_mub_per_cell": 0.0,
  "space_group": "F-43m (216)",
  "e_form_raw_ev_per_atom": -0.033,
  "volume_a3_per_atom": 22.36,
  "cell": [[5.0200, 0.0000, 0.0000], [2.5100, 4.3474, 0.0000], [2.5100, 1.4491, 4.0988]],
  "species": ["Ba", "Rh", "Se", "Se"],
  "frac_coords": [[0.5000, 0.5000, 0.5000], [0.2500, 0.2500, 0.2500], [0.0000, 0.0000, 0.0000], [0.7500, 0.7500, 0.7500]]
}

***

# 11
{
  "formula": "Rb2ZrAsOs",
  "functional": "GGA-PBEsol",
  "state": "relaxed",
  "total_magnetization_mub_per_cell": 5.2,
  "ef_ev_per_atom": 1.910,
  "space_group": "P4/mmm (123)",
  "volume_a3_per_atom": 43.89,
  "cell": [[5.0359, 0.0000, 0.0000], [0.0000, 6.6013, 0.0000], [0.0000, 0.0000, 6.6013]],
  "species": ["As", "Os", "Rb", "Rb", "Zr"],
  "frac_coords": [[0.5000, 0.0000, 0.0000], [0.5000, 0.5000, 0.5000], [0.0000, 0.0000, 0.5000], [0.0000, 0.5000, 0.0000], [0.0000, 0.0000, 0.0000]]
}

***

# 12
{
  "formula": "Sr2PtBr",
  "functional": "GGA-PBEsol",
  "state": "relaxed",
  "total_magnetization_mub_per_cell": 0.0,
  "space_group": "Fm-3m (225)",
  "e_form_raw_ev_per_atom": -0.981,
  "e_above_lowest_polymorph_mev_per_atom": 198,
  "volume_a3_per_atom": 26.64,
  "cell": [[5.3216, 0.0000, 0.0000], [2.6608, 4.6086, 0.0000], [2.6608, 1.5362, 4.3451]],
  "species": ["Sr", "Sr", "Br", "Pt"],
  "frac_coords": [[0.2500, 0.2500, 0.2500], [0.7500, 0.7500, 0.7500], [0.0000, 0.0000, 0.0000], [0.5000, 0.5000, 0.5000]]
}

***

# 13
{
  "formula": "CsTiCuSe3",
  "functional": "GGA-PBEsol",
  "state": "relaxed",
  "total_magnetization_mub_per_cell": 0.0,
  "space_group": "Cmcm (63)",
  "e_form_raw_ev_per_atom": -0.983,
  "volume_a3_per_atom": 24.19,
  "cell": [[-2.5009, 2.7282, -0.3080], [-3.4240, -5.0525, 5.4400], [4.4105, 4.8669, 7.2963]],
  "species": ["Cs", "Cs", "Cu", "Cu", "Se", "Se", "Se", "Se", "Se", "Se", "Ti", "Ti"],
  "frac_coords": [[0.7494, 0.4988, 0.2500], [0.2506, 0.5012, 0.7500], [0.4662, 0.9324, 0.2500], [0.5338, 0.0676, 0.7500], [0.3902, 0.7803, 0.0448], [0.9403, 0.8807, 0.7500], [0.6098, 0.2197, 0.5448], [0.6098, 0.2197, 0.9552], [0.3902, 0.7803, 0.4552], [0.0597, 0.1193, 0.2500], [0.0000, 0.0000, 0.0000], [0.0000, 0.0000, 0.5000]]
}

***

# 14
{
  "formula": "LiIrBr2",
  "functional": "GGA-PBEsol",
  "state": "relaxed",
  "total_magnetization_mub_per_cell": 0.0,
  "space_group": "P4/mmm (123)",
  "e_form_raw_ev_per_atom": 0.056,
  "e_above_lowest_polymorph_mev_per_atom": 255,
  "volume_a3_per_atom": 17.03,
  "cell": [[3.1633, 0.0000, 0.0000], [0.0000, 4.6408, 0.0000], [0.0000, 0.0000, 4.6408]],
  "species": ["Br", "Br", "Ir", "Li"],
  "frac_coords": [[0.0000, 0.0000, 0.5000], [0.0000, 0.5000, 0.0000], [0.5000, 0.5000, 0.5000], [0.5000, 0.0000, 0.0000]]
}

***

# 15
{
  "formula": "RbSi3O",
  "functional": "GGA-PBEsol",
  "state": "relaxed",
  "total_magnetization_mub_per_cell": 0.0,
  "space_group": "Pm-3m (221)",
  "e_form_raw_ev_per_atom": 0.477,
  "e_above_lowest_polymorph_mev_per_atom": 0,
  "volume_a3_per_atom": 18.44,
  "cell": [[-3.3304, 0.4162, -3.0245], [-2.9700, -1.4784, 3.0670], [-0.7072, 4.2490, 1.3634]],
  "species": ["Si", "Si", "Si", "O", "Rb"],
  "frac_coords": [[0.0000, 0.5000, 0.0000], [0.0000, 0.0000, 0.5000], [0.5000, 0.0000, 0.0000], [0.0000, 0.0000, 0.0000], [0.5000, 0.5000, 0.5000]]
}

***

# 16
{
  "formula": "SiPtO2F",
  "functional": "GGA-PBEsol",
  "state": "relaxed",
  "total_magnetization_mub_per_cell": 0.0,
  "space_group": "P4/mmm (123)",
  "e_form_raw_ev_per_atom": -0.081,
  "volume_a3_per_atom": 12.95,
  "cell": [[3.9630, 0.0000, 0.0000], [0.0000, 3.9630, 0.0000], [0.0000, 0.0000, 4.1230]],
  "species": ["Si", "O", "O", "Pt", "F"],
  "frac_coords": [[0.5000, 0.5000, 0.5000], [0.0000, 0.5000, 0.0000], [0.5000, 0.0000, 0.0000], [0.0000, 0.0000, 0.0000], [0.0000, 0.0000, 0.5000]]
}

***

# 17
{
  "formula": "Cs2AuBr",
  "functional": "GGA-PBEsol",
  "state": "relaxed",
  "total_magnetization_mub_per_cell": 0.0,
  "space_group": "I-42d (122)",
  "e_form_raw_ev_per_atom": -0.827,
  "e_above_lowest_polymorph_mev_per_atom": 126,
  "volume_a3_per_atom": 63.55,
  "cell": [[8.0272, 0.0000, 0.0000], [0.0000, 8.0272, 0.0000], [-4.0136, -4.0136, 7.8905]],
  "species": ["Cs", "Cs", "Cs", "Cs", "Au", "Au", "Br", "Br"],
  "frac_coords": [[0.3734, 0.8750, 0.2500], [0.8766, 0.3750, 0.2500], [0.1250, 0.1234, 0.7500], [0.6250, 0.6266, 0.7500], [0.2500, 0.7500, 0.5000], [0.0000, 0.0000, 0.0000], [0.7500, 0.2500, 0.5000], [0.5000, 0.5000, 0.0000]]
}

***

# 18
{
  "formula": "Tl2Hg2Br",
  "functional": "GGA-PBEsol",
  "state": "relaxed",
  "total_magnetization_mub_per_cell": 0.0,
  "space_group": "P4/mbm (127)",
  "e_form_raw_ev_per_atom": -0.219,
  "volume_a3_per_atom": 28.86,
  "cell": [[3.9246, 0.0000, 0.0000], [0.0000, 8.5750, 0.0000], [0.0000, 0.0000, 8.5750]],
  "species": ["Tl", "Tl", "Tl", "Tl", "Hg", "Hg", "Hg", "Hg", "Br", "Br"],
  "frac_coords": [[0.0000, 0.3204, 0.8204], [0.0000, 0.8204, 0.6796], [0.0000, 0.6796, 0.1796], [0.0000, 0.1796, 0.3204], [0.5000, 0.1256, 0.6256], [0.5000, 0.6256, 0.8744], [0.5000, 0.8744, 0.3744], [0.5000, 0.3744, 0.1256], [0.0000, 0.0000, 0.0000], [0.0000, 0.5000, 0.5000]]
}

***

# 19
{
  "formula": "CaMg5P3HCO16",
  "functional": "GGA-PBEsol",
  "state": "relaxed",
  "total_magnetization_mub_per_cell": 0.0,
  "space_group": "P-1 (2)",
  "dft_energy_ev_per_cell": -385.69,
  "volume_a3_per_atom": 10.70,
  "cell": [[6.2930, -0.0132, -0.0065], [-0.4941, 8.6688, -0.0278], [-2.0635, -1.0757, 10.5989]],
  "species": ["Ca", "Ca", "Mg", "Mg", "Mg", "Mg", "Mg", "Mg", "Mg", "Mg", "Mg", "Mg", "P", "P", "P", "P", "P", "P", "H", "H", "C", "C", "O", "O", "O", "O", "O", "O", "O", "O", "O", "O", "O", "O", "O", "O", "O", "O", "O", "O", "O", "O", "O", "O", "O", "O", "O", "O", "O", "O", "O", "O", "O", "O"],
  "frac_coords": [[0.1237, 0.3180, 0.5630], [0.8763, 0.6820, 0.4370], [0.0921, 0.8188, 0.1686], [0.9079, 0.1812, 0.8314], [0.3431, 0.5329, 0.1168], [0.6569, 0.4671, 0.8832], [0.3091, 0.0363, 0.4002], [0.6909, 0.9637, 0.5998], [0.5886, 0.3519, 0.3177], [0.4114, 0.6481, 0.6823], [0.6714, 0.1383, 0.0476], [0.3286, 0.8617, 0.9524], [0.7978, 0.0311, 0.3292], [0.2022, 0.9689, 0.6708], [0.2125, 0.1586, 0.1086], [0.7875, 0.8414, 0.8914], [0.3690, 0.6689, 0.4255], [0.6310, 0.3311, 0.5745], [0.5215, 0.8051, 0.1650], [0.4785, 0.1949, 0.8350], [0.1470, 0.4842, 0.8375], [0.8530, 0.5158, 0.1625], [0.0095, 0.1097, 0.4133], [0.9905, 0.8903, 0.5867], [0.4382, 0.2662, 0.4638], [0.5618, 0.7338, 0.5362], [0.3704, 0.0058, 0.5885], [0.6296, 0.9942, 0.4115], [0.3278, 0.3170, 0.1712], [0.6722, 0.6830, 0.8288], [0.2341, 0.7943, 0.3634], [0.7659, 0.2057, 0.6366], [0.2180, 0.5753, 0.4951], [0.7820, 0.4247, 0.5049], [0.4685, 0.5732, 0.3270], [0.5315, 0.4268, 0.6730], [0.7006, 0.1494, 0.2380], [0.2994, 0.8506, 0.7620], [0.6772, 0.4904, 0.0772], [0.3229, 0.5096, 0.9228], [0.1654, 0.1262, 0.7410], [0.8346, 0.8738, 0.2590], [0.2024, 0.0480, 0.2111], [0.7976, 0.9520, 0.7889], [0.0265, 0.5811, 0.1365], [0.9735, 0.4189, 0.8635], [0.3784, 0.7628, 0.1164], [0.6216, 0.2372, 0.8836], [0.1501, 0.5206, 0.7256], [0.8499, 0.4794, 0.2744], [0.3452, 0.0891, 0.0147], [0.6548, 0.9109, 0.9853], [0.9844, 0.1797, 0.0327], [0.0156, 0.8203, 0.9673]]
}

***

# 20
{
  "formula": "LaP2I",
  "functional": "GGA-PBEsol",
  "state": "relaxed",
  "total_magnetization_mub_per_cell": 0.0,
  "space_group": "Fm-3m (225)",
  "e_form_raw_ev_per_atom": -0.039,
  "volume_a3_per_atom": 22.98,
  "cell": [[5.0659, 0.0000, 0.0000], [2.5330, 4.3872, 0.0000], [2.5330, 1.4624, 4.1363]],
  "species": ["I", "P", "P", "La"],
  "frac_coords": [[0.0000, 0.0000, 0.0000], [0.2500, 0.2500, 0.2500], [0.7500, 0.7500, 0.7500], [0.5000, 0.5000, 0.5000]]
}